Here is a geometry-optimized K6ClO2 structure from Alexandria. Energies are from GGA-PBE.

a b c (Å): 7.503 7.503 9.968
angles (deg): 119.88 119.88 41.00
Positions (direct):
K (0.027, 0.027, 0.180)
K (0.288, 0.288, 0.933)
K (0.333, 0.333, 0.371)
K (0.667, 0.667, 0.629)
K (0.712, 0.712, 0.067)
K (0.973, 0.973, 0.820)
Cl (0.000, 0.000, 0.500)
O (0.172, 0.172, 0.085)
O (0.828, 0.828, 0.915)

Properties
E above lowest polymorph   0 kJ/mol of formula units
Uncorrected formation energy   -9.80 eV/f.u.

***

Here is a geometry-optimized CsCuNi2Cl8 structure from Alexandria. Energies are from GGA-PBE.

a b c (Å): 10.184 10.184 10.184
angles (deg): 36.20 36.20 36.20
Positions (direct):
Cs (0.000, 0.000, 0.000)
Cu (0.500, 0.500, 0.500)
Ni (0.239, 0.239, 0.239)
Ni (0.761, 0.761, 0.761)
Cl (0.127, 0.757, 0.463)
Cl (0.243, 0.537, 0.873)
Cl (0.316, 0.316, 0.316)
Cl (0.463, 0.127, 0.757)
Cl (0.537, 0.873, 0.243)
Cl (0.684, 0.684, 0.684)
Cl (0.757, 0.463, 0.127)
Cl (0.873, 0.243, 0.537)

Properties
Uncorrected formation energy   -8.58 eV/f.u.

***

Here is a geometry-optimized HfZr2Ge structure from Alexandria. Energies are from GGA-PBE.

a b c (Å): 9.719 9.719 9.719
angles (deg): 19.16 19.16 19.16
Positions (direct):
Hf (0.000, 0.000, 0.000)
Zr (0.245, 0.245, 0.245)
Zr (0.755, 0.755, 0.755)
Ge (0.500, 0.500, 0.500)

Properties
DFT formation energy   -0.166 eV per atom

***

Here is a geometry-optimized PrTm7Tl2 structure from Alexandria. Energies are from GGA-PBE.

a b c (Å): 8.836 8.836 5.428
angles (deg): 90.00 90.00 118.12
Positions (direct):
Pr (0.000, 0.000, 0.000)
Tm (0.059, 0.304, 0.500)
Tm (0.232, 0.768, 0.000)
Tm (0.304, 0.059, 0.500)
Tm (0.500, 0.500, 0.500)
Tm (0.696, 0.941, 0.500)
Tm (0.768, 0.232, 0.000)
Tm (0.941, 0.696, 0.500)
Tl (0.305, 0.695, 0.500)
Tl (0.695, 0.305, 0.500)

Properties
DFT formation energy   0.368 eV per atom

***

Here is a geometry-optimized ErTmSc2 structure from Alexandria. Energies are from GGA-PBE.

a b c (Å): 5.371 5.371 5.371
angles (deg): 60.00 60.00 60.00
Positions (direct):
Er (0.000, 0.000, 0.000)
Tm (0.500, 0.500, 0.500)
Sc (0.250, 0.250, 0.250)
Sc (0.750, 0.750, 0.750)

Properties
DFT formation energy   0.101 eV per atom
E above lowest polymorph   23 kJ/mol of formula units

***

Here is a geometry-optimized Na2Ge7Pt12 structure from Alexandria. Energies are from GGA-PBE.

a b c (Å): 10.309 10.309 3.870
angles (deg): 90.00 90.00 120.00
Positions (direct):
Na (0.000, 0.000, 0.000)
Na (0.333, 0.667, 0.500)
Ge (0.080, 0.621, 0.000)
Ge (0.256, 0.044, 0.500)
Ge (0.379, 0.459, 0.000)
Ge (0.541, 0.920, 0.000)
Ge (0.667, 0.333, 0.000)
Ge (0.787, 0.744, 0.500)
Ge (0.956, 0.213, 0.500)
Pt (0.049, 0.780, 0.500)
Pt (0.112, 0.398, 0.000)
Pt (0.220, 0.269, 0.500)
Pt (0.286, 0.888, 0.000)
Pt (0.397, 0.222, 0.000)
Pt (0.522, 0.083, 0.500)
Pt (0.561, 0.478, 0.500)
Pt (0.602, 0.714, 0.000)
Pt (0.731, 0.951, 0.500)
Pt (0.778, 0.175, 0.000)
Pt (0.825, 0.603, 0.000)
Pt (0.917, 0.439, 0.500)

Properties
DFT formation energy   -0.470 eV per atom

***

Number 1: raw total energy -3.127 eV/atom. Number 2: raw total energy -3.322 eV/atom. Number 3: raw total energy -8.082 eV/atom. Number 4: raw total energy -3.713 eV/atom. Number 5: raw total energy -5.324 eV/atom. Number 6: raw total energy -5.586 eV/atom.